Density functional theory data (PBE-GGA) for a geometry-optimized MgIn3Ga8 structure.

a = 7.6439 Å, b = 7.6439 Å, c = 9.8518 Å
α = 90.00°, β = 90.00°, γ = 90.00°
Space group I-42m (No. 121)
Symmetry-distinct sites (fractional):
Mg: 0.0000 0.0000 0.0000 x2
In: 0.0000 0.0000 0.5000 x2
In: 0.0000 0.5000 0.2500 x4
Ga: 0.1372 0.1372 0.2288 x8
Ga: 0.2460 0.2460 0.9640 x8

DFT formation energy ... 166 meV/atom
DOS(E_F) ... 0.5069 states/eV/atom
DFT total energy ... -2.669 eV per atom

Density functional theory data (PBE-GGA) for a geometry-optimized Ba3TlRu2O9 structure.

a = 5.8965 Å, b = 5.8965 Å, c = 7.2734 Å
α = 90.00°, β = 90.00°, γ = 120.00°
Space group P-3m1 (No. 164)
Symmetry-distinct sites (fractional):
Ba: 0.0000 0.0000 0.0000 x1
Ba: 0.3333 0.6667 0.6716 x2
Tl: 0.0000 0.0000 0.5000 x1
Ru: 0.3333 0.6667 0.1596 x2
O: 0.0000 0.5000 0.0000 x3
O: 0.1758 0.3516 0.3155 x6

E_form (uncorrected) ... -1.6414 eV/atom
DOS(E_F) ... 0.3547 states/eV/atom
DFT total energy ... -6.395 eV per atom

Please write out number 2 again, unchanged.
Density functional theory data (PBE-GGA) for a geometry-optimized Ba3TlRu2O9 structure.

a = 5.8965 Å, b = 5.8965 Å, c = 7.2734 Å
α = 90.00°, β = 90.00°, γ = 120.00°
Space group P-3m1 (No. 164)
Symmetry-distinct sites (fractional):
Ba: 0.0000 0.0000 0.0000 x1
Ba: 0.3333 0.6667 0.6716 x2
Tl: 0.0000 0.0000 0.5000 x1
Ru: 0.3333 0.6667 0.1596 x2
O: 0.0000 0.5000 0.0000 x3
O: 0.1758 0.3516 0.3155 x6

E_form (uncorrected) ... -1.6414 eV/atom
DOS(E_F) ... 0.3547 states/eV/atom
DFT total energy ... -6.395 eV per atom